#a
# Sc2CoOs

Sc2CoOs at its PBEsol-relaxed geometry (meta-GGA SCAN, the Alexandria database).

Values from the calculation:
total moment	0.7	μB/f.u.

a b c (Å): 4.4289 4.4289 4.4289
angles (deg): 60.00 60.00 60.00
Atoms (fractional coordinates):
Sc: 0.7500 0.7500 0.7500
Co: 0.5000 0.5000 0.5000
Os: 0.0000 0.0000 0.0000
Sc: 0.2500 0.2500 0.2500

#b
# Sc2CoOs

Sc2CoOs at its PBEsol-relaxed geometry (meta-GGA SCAN, the Alexandria database).

Values from the calculation:
total moment	0.7	μB/f.u.

a b c (Å): 3.0199 3.0199 8.1726
angles (deg): 79.35 79.35 60.00
Atoms (fractional coordinates):
Sc: 0.7532 0.7532 0.7403
Co: 0.5000 0.5000 0.5000
Os: 0.0000 0.0000 0.0000
Sc: 0.2468 0.2468 0.2597

The most stable of them is #a.

#a
# ScCoOs

ScCoOs at its PBEsol-relaxed geometry (meta-GGA SCAN, the Alexandria database).

Values from the calculation:
total moment	0.0	μB/f.u.

a b c (Å): 2.9098 4.1805 4.1805
angles (deg): 120.00 90.00 90.00
Atoms (fractional coordinates):
Os: 0.0000 0.3333 0.6667
Co: 0.0000 0.0000 0.0000
Sc: 0.5000 0.6667 0.3333

#b
# ScCoOs

ScCoOs at its PBEsol-relaxed geometry (meta-GGA SCAN, the Alexandria database).

Values from the calculation:
total moment	2.2	μB/f.u.

a b c (Å): 3.0829 3.0829 5.1111
angles (deg): 107.55 107.55 90.00
Atoms (fractional coordinates):
Os: 0.6511 0.6511 0.3022
Co: 0.0146 0.0146 0.0292
Sc: 0.3343 0.3343 0.6686

The most stable of them is #b.

#a
# Sr2CoOs

Sr2CoOs at its PBEsol-relaxed geometry (meta-GGA SCAN, the Alexandria database).

Values from the calculation:
total moment	0.0	μB/f.u.

a b c (Å): 3.9967 5.0099 5.8163
angles (deg): 115.51 110.10 90.00
Atoms (fractional coordinates):
Sr: 0.7709 0.2709 0.5418
Sr: 0.9800 0.9800 0.9600
Os: 0.1737 0.6737 0.3473
Co: 0.5755 0.5755 0.1510

#b
# Sr2CoOs

Sr2CoOs at its PBEsol-relaxed geometry (meta-GGA SCAN, the Alexandria database).

Values from the calculation:
total moment	2.1	μB/f.u.

a b c (Å): 4.8114 5.1520 4.8114
angles (deg): 62.16 90.00 117.84
Atoms (fractional coordinates):
Sr: 0.2500 0.5000 0.2500
Os: 0.5000 0.0000 0.5000
Co: 0.0000 0.0000 0.0000
Sr: 0.7500 0.5000 0.7500

The most stable of them is #a.

#a
# Sr2CoOs

Sr2CoOs at its PBEsol-relaxed geometry (meta-GGA SCAN, the Alexandria database).

Values from the calculation:
total moment	2.2	μB/f.u.

a b c (Å): 3.3266 3.3266 8.8398
angles (deg): 90.00 90.00 90.00
Atoms (fractional coordinates):
Sr: 0.5000 0.5000 0.3342
Co: 0.0000 0.0000 0.5832
Sr: 0.0000 0.0000 0.9168
Os: 0.5000 0.5000 0.6659

#b
# Sr2CoOs

Sr2CoOs at its PBEsol-relaxed geometry (meta-GGA SCAN, the Alexandria database).

Values from the calculation:
total moment	2.1	μB/f.u.

a b c (Å): 4.2973 4.4886 4.4886
angles (deg): 90.00 90.00 90.00
Atoms (fractional coordinates):
Os: 0.5000 0.0000 0.0000
Sr: 0.0000 0.0000 0.5000
Sr: 0.0000 0.5000 0.0000
Co: 0.5000 0.5000 0.5000

The most stable of them is #a.

#a
# SrCo2Os

SrCo2Os at its PBEsol-relaxed geometry (meta-GGA SCAN, the Alexandria database).

Values from the calculation:
total moment	4.8	μB/f.u.

a b c (Å): 4.4522 4.4522 4.4522
angles (deg): 60.00 60.00 60.00
Atoms (fractional coordinates):
Sr: 0.5000 0.5000 0.5000
Co: 0.7500 0.7500 0.7500
Os: 0.0000 0.0000 0.0000
Co: 0.2500 0.2500 0.2500

#b
# SrCo2Os

SrCo2Os at its PBEsol-relaxed geometry (meta-GGA SCAN, the Alexandria database).

Values from the calculation:
total moment	2.7	μB/f.u.

a b c (Å): 2.8452 2.8452 7.5775
angles (deg): 90.00 90.00 90.00
Atoms (fractional coordinates):
Co: 0.0000 0.0000 0.1930
Os: 0.5000 0.5000 0.0000
Co: 0.0000 0.0000 0.8070
Sr: 0.5000 0.5000 0.5000

The most stable of them is #b.

#a
# TaCo2Os

TaCo2Os at its PBEsol-relaxed geometry (meta-GGA SCAN, the Alexandria database).

Values from the calculation:
total moment	0.3	μB/f.u.

a b c (Å): 3.7185 3.7185 4.5236
angles (deg): 114.27 114.27 90.00
Atoms (fractional coordinates):
Ta: 0.0000 0.0000 0.0000
Co: 0.7500 0.2500 0.5000
Co: 0.2500 0.7500 0.5000
Os: 0.5000 0.5000 0.0000

#b
# TaCo2Os

TaCo2Os at its PBEsol-relaxed geometry (meta-GGA SCAN, the Alexandria database).

Values from the calculation:
total moment	0.9	μB/f.u.

a b c (Å): 3.6644 3.7236 3.7236
angles (deg): 90.00 90.00 90.00
Atoms (fractional coordinates):
Co: 0.0000 0.5000 0.0000
Co: 0.0000 0.0000 0.5000
Os: 0.5000 0.5000 0.5000
Ta: 0.5000 0.0000 0.0000

#c
# TaCo2Os

TaCo2Os at its PBEsol-relaxed geometry (meta-GGA SCAN, the Alexandria database).

Values from the calculation:
total moment	0.0	μB/f.u.

a b c (Å): 2.6772 4.4936 4.5506
angles (deg): 99.65 90.00 107.33
Atoms (fractional coordinates):
Os: 0.5082 0.0164 0.5445
Co: 0.2494 0.4989 0.7364
Co: 0.9953 0.9905 0.9916
Ta: 0.7471 0.4943 0.2275

The most stable of them is #b.

#a
# CoTcOs

CoTcOs at its PBEsol-relaxed geometry (meta-GGA SCAN, the Alexandria database).

Values from the calculation:
total moment	2.2	μB/f.u.

a b c (Å): 2.6018 2.6018 6.6451
angles (deg): 96.36 96.36 115.72
Atoms (fractional coordinates):
Tc: 0.6626 0.6626 0.3252
Co: 0.0011 0.0011 0.0022
Os: 0.3363 0.3363 0.6726

#b
# CoTcOs

CoTcOs at its PBEsol-relaxed geometry (meta-GGA SCAN, the Alexandria database).

Values from the calculation:
total moment	2.2	μB/f.u.

a b c (Å): 3.0674 3.0674 4.6367
angles (deg): 109.32 109.32 90.00
Atoms (fractional coordinates):
Os: 0.6611 0.6611 0.3222
Co: 0.9986 0.9986 0.9971
Tc: 0.3404 0.3404 0.6807

The most stable of them is #b.

#a
# CoTe2Os

CoTe2Os at its PBEsol-relaxed geometry (meta-GGA SCAN, the Alexandria database).

Values from the calculation:
total moment	2.0	μB/f.u.

a b c (Å): 3.7480 3.7480 8.1172
angles (deg): 76.65 76.65 60.00
Atoms (fractional coordinates):
Te: 0.8969 0.8969 0.3094
Co: 0.0000 0.0000 0.0000
Te: 0.1031 0.1031 0.6906
Os: 0.5000 0.5000 0.5000

#b
# CoTe2Os

CoTe2Os at its PBEsol-relaxed geometry (meta-GGA SCAN, the Alexandria database).

Values from the calculation:
total moment	1.8	μB/f.u.

a b c (Å): 3.2217 4.6353 4.6353
angles (deg): 90.00 90.00 90.00
Atoms (fractional coordinates):
Os: 0.5000 0.0000 0.0000
Te: 0.0000 0.5000 0.0000
Te: 0.0000 0.0000 0.5000
Co: 0.5000 0.5000 0.5000

The most stable of them is #a.

#a
# TlCo2Os

TlCo2Os at its PBEsol-relaxed geometry (meta-GGA SCAN, the Alexandria database).

Values from the calculation:
total moment	0.3	μB/f.u.

a b c (Å): 2.7591 4.5296 4.7184
angles (deg): 100.27 90.00 107.73
Atoms (fractional coordinates):
Tl: 0.7472 0.4943 0.2251
Co: 0.2505 0.5009 0.7314
Os: 0.5129 0.0258 0.5637
Co: 0.9895 0.9790 0.9798

#b
# TlCo2Os

TlCo2Os at its PBEsol-relaxed geometry (meta-GGA SCAN, the Alexandria database).

Values from the calculation:
total moment	3.2	μB/f.u.

a b c (Å): 2.8879 2.8879 6.7163
angles (deg): 90.00 90.00 90.00
Atoms (fractional coordinates):
Os: 0.0000 0.0000 0.4460
Co: 0.0000 0.0000 0.0468
Co: 0.5000 0.5000 0.2393
Tl: 0.5000 0.5000 0.7679

The most stable of them is #b.

#a
# CoOsW

CoOsW at its PBEsol-relaxed geometry (meta-GGA SCAN, the Alexandria database).

Values from the calculation:
total moment	1.5	μB/f.u.

a b c (Å): 4.0981 4.0981 4.0981
angles (deg): 60.00 60.00 60.00
Atoms (fractional coordinates):
Os: 0.2500 0.2500 0.2500
W: 0.0000 0.0000 0.0000
Co: 0.5000 0.5000 0.5000

#b
# CoOsW

CoOsW at its PBEsol-relaxed geometry (meta-GGA SCAN, the Alexandria database).

Values from the calculation:
total moment	1.7	μB/f.u.

a b c (Å): 2.6739 3.7539 4.6219
angles (deg): 113.96 106.81 90.00
Atoms (fractional coordinates):
Co: 0.0034 0.0034 0.0068
W: 0.3353 0.3353 0.6707
Os: 0.6613 0.6613 0.3225

The most stable of them is #b.

#a
# Co2OsW

Co2OsW at its PBEsol-relaxed geometry (meta-GGA SCAN, the Alexandria database).

Values from the calculation:
total moment	0.5	μB/f.u.

a b c (Å): 2.6211 4.1630 4.5048
angles (deg): 90.00 90.00 90.00
Atoms (fractional coordinates):
W: 0.5000 0.5000 0.2033
Co: 0.0000 0.0000 0.0287
Os: 0.5000 0.0000 0.5568
Co: 0.0000 0.5000 0.7112

#b
# Co2OsW

Co2OsW at its PBEsol-relaxed geometry (meta-GGA SCAN, the Alexandria database).

Values from the calculation:
total moment	1.6	μB/f.u.

a b c (Å): 4.1711 4.1711 4.1711
angles (deg): 60.00 60.00 60.00
Atoms (fractional coordinates):
Co: 0.7500 0.7500 0.7500
Co: 0.0000 0.0000 0.0000
Os: 0.5000 0.5000 0.5000
W: 0.2500 0.2500 0.2500

The most stable of them is #a.

#a
# Co2OsW

Co2OsW at its PBEsol-relaxed geometry (meta-GGA SCAN, the Alexandria database).

Values from the calculation:
total moment	1.3	μB/f.u.

a b c (Å): 3.6649 3.6649 3.6740
angles (deg): 90.00 90.00 90.00
Atoms (fractional coordinates):
Os: 0.5000 0.5000 0.5000
Co: 0.0000 0.5000 0.0000
W: 0.0000 0.0000 0.5000
Co: 0.5000 0.0000 0.0000

#b
# Co2OsW

Co2OsW at its PBEsol-relaxed geometry (meta-GGA SCAN, the Alexandria database).

Values from the calculation:
total moment	1.9	μB/f.u.

a b c (Å): 2.6063 3.6476 5.2052
angles (deg): 90.00 90.00 90.00
Atoms (fractional coordinates):
Co: 0.0000 0.0000 0.7591
Os: 0.5000 0.5000 0.0000
Co: 0.0000 0.0000 0.2409
W: 0.5000 0.5000 0.5000

The most stable of them is #a.

#a
# CoOs2W

CoOs2W at its PBEsol-relaxed geometry (meta-GGA SCAN, the Alexandria database).

Values from the calculation:
total moment	0.3	μB/f.u.

a b c (Å): 3.7539 3.7795 3.7795
angles (deg): 90.00 90.00 90.00
Atoms (fractional coordinates):
Os: 0.0000 0.0000 0.5000
Co: 0.5000 0.0000 0.0000
W: 0.5000 0.5000 0.5000
Os: 0.0000 0.5000 0.0000

#b
# CoOs2W

CoOs2W at its PBEsol-relaxed geometry (meta-GGA SCAN, the Alexandria database).

Values from the calculation:
total moment	1.8	μB/f.u.

a b c (Å): 2.7029 2.7029 7.3824
angles (deg): 90.00 90.00 90.00
Atoms (fractional coordinates):
Os: 0.0000 0.0000 0.7316
Co: 0.5000 0.5000 0.5000
W: 0.5000 0.5000 0.0000
Os: 0.0000 0.0000 0.2684

The most stable of them is #a.

#a
# YCoOs2

YCoOs2 at its PBEsol-relaxed geometry (meta-GGA SCAN, the Alexandria database).

Values from the calculation:
total moment	0.6	μB/f.u.

a b c (Å): 2.8561 2.8561 7.4934
angles (deg): 90.00 90.00 90.00
Atoms (fractional coordinates):
Os: 0.0000 0.0000 0.3038
Y: 0.5000 0.5000 0.0000
Co: 0.5000 0.5000 0.5000
Os: 0.0000 0.0000 0.6962

#b
# YCoOs2

YCoOs2 at its PBEsol-relaxed geometry (meta-GGA SCAN, the Alexandria database).

Values from the calculation:
total moment	1.6	μB/f.u.

a b c (Å): 2.7975 3.7452 6.0317
angles (deg): 90.00 90.00 90.00
Atoms (fractional coordinates):
Y: 0.0000 0.0000 0.5133
Os: 0.5000 0.5000 0.1938
Co: 0.5000 0.5000 0.7893
Os: 0.0000 0.0000 0.0036

#c
# YCoOs2

YCoOs2 at its PBEsol-relaxed geometry (meta-GGA SCAN, the Alexandria database).

Values from the calculation:
total moment	0.8	μB/f.u.

a b c (Å): 3.7935 3.7935 4.2685
angles (deg): 90.00 90.00 90.00
Atoms (fractional coordinates):
Os: 0.5000 0.0000 0.0000
Y: 0.5000 0.5000 0.5000
Co: 0.0000 0.0000 0.5000
Os: 0.0000 0.5000 0.0000

The most stable of them is #b.